A relaxed VCoSb2Te crystal. Source: the Alexandria database, functional PBE-GGA.

Properties
Formation energy from raw total energies in meV/atom: 825.7
Density of states at the Fermi level in states/eV/cell: 7.5
Total moment in Bohr magnetons per cell: 0.101
Energy relative to the lowest polymorph listed for this composition in eV per formula unit: 0.00

Geometry as CIF:
```
data_VCoSb2Te
_symmetry_space_group_name_H-M 'P 4/m m m'
_symmetry_Int_Tables_number 123
_symmetry_space_group_name_Hall '-P 4 2'
_cell_length_a 4.788
_cell_length_b 4.788
_cell_length_c 5.271
_cell_angle_alpha 90.00
_cell_angle_beta 90.00
_cell_angle_gamma 90.00
loop_
_atom_site_label
_atom_site_fract_x
_atom_site_fract_y
_atom_site_fract_z
_atom_site_occupancy
V1 0.000 0.000 0.000 1
Co1 0.500 0.500 0.500 1
Sb1 0.000 0.500 0.500 1
Te1 0.500 0.500 0.000 1
```